The following is a DFT calculation (GGA-PBE) of a relaxed structure of Sb5P4.

a = 8.070 Å, b = 8.070 Å, c = 7.212 Å
α = 90.00°, β = 90.00°, γ = 120.00°
Sites, in units of the cell vectors:
1 P 0.601 0.601 0.250
2 P 0.000 0.000 0.500
3 Sb 0.667 0.333 0.500
4 P 0.601 0.000 0.750
5 Sb 0.257 0.257 0.250
6 P 0.399 0.399 0.750
7 Sb 0.333 0.667 0.000
8 Sb 0.257 0.000 0.750
9 Sb 0.667 0.333 0.000
10 P 0.399 0.000 0.250
11 Sb 0.000 0.257 0.750
12 P 0.000 0.000 0.000
13 Sb 0.333 0.667 0.500
14 P 0.000 0.601 0.750
15 Sb 0.743 0.000 0.250
16 P 0.000 0.399 0.250
17 Sb 0.743 0.743 0.750
18 Sb 0.000 0.743 0.250

Computed properties:
The uncorrected formation energy comes out at 373 meV/atom. The density of states at the Fermi level comes out at 8.19 states/eV per cell. The calculation puts the total magnetization at 0.00 μB per cell. Its space group is P6_3/mcm.

The following is a DFT calculation (GGA-PBE) of a relaxed structure of Sc6Sb2P.

a = 7.589 Å, b = 7.589 Å, c = 3.904 Å
α = 90.00°, β = 90.00°, γ = 120.00°
Site moments in Bohr magnetons follow the coordinates.
Sites, in units of the cell vectors:
1 Sb 0.667 0.333 0.000  0.00
2 P 0.000 0.000 0.500  0.00
3 Sc 0.000 0.760 0.000  0.06
4 Sb 0.333 0.667 0.000  0.00
5 Sc 0.000 0.392 0.500  0.04
6 Sc 0.240 0.240 0.000  0.06
7 Sc 0.392 0.000 0.500  0.04
8 Sc 0.608 0.608 0.500  0.04
9 Sc 0.760 0.000 0.000  0.06

Computed properties:
The uncorrected formation energy comes out at -871 meV/atom. The density of states at the Fermi level comes out at 13.92 states/eV per cell. The calculation puts the total magnetization at 0.48 μB per cell. Its space group is P-62m. For the relative energy among the computed polymorphs, the calculation gives 0 meV/atom.

The following is a DFT calculation (GGA-PBE) of a relaxed structure of ScSbP4.

a = 5.299 Å, b = 5.299 Å, c = 5.299 Å
α = 60.00°, β = 60.00°, γ = 60.00°
Sites, in units of the cell vectors:
1 P 0.367 0.898 0.367
2 Sb 0.750 0.750 0.750
3 P 0.898 0.367 0.367
4 P 0.367 0.367 0.898
5 P 0.367 0.367 0.367
6 Sc 0.000 0.000 0.000

Computed properties:
The uncorrected formation energy comes out at 190 meV/atom. The density of states at the Fermi level comes out at 3.52 states/eV per cell. The calculation puts the total magnetization at 0.00 μB per cell. Its space group is F-43m.

The following is a DFT calculation (GGA-PBE) of a relaxed structure of Sc4Sb3P.

a = 4.026 Å, b = 7.061 Å, c = 7.061 Å
α = 109.03°, β = 90.00°, γ = 90.00°
Sites, in units of the cell vectors:
1 Sb 0.000 0.500 0.000
2 Sb 0.000 0.000 0.500
3 Sc 0.500 0.238 0.762
4 Sb 0.500 0.500 0.500
5 Sc 0.000 0.771 0.771
6 Sc 0.500 0.762 0.238
7 Sc 0.000 0.229 0.229
8 P 0.500 0.000 0.000

Computed properties:
The uncorrected formation energy comes out at -1033 meV/atom. The density of states at the Fermi level comes out at 1.67 states/eV per cell. The calculation puts the total magnetization at 0.00 μB per cell. Its space group is Cmmm.

The following is a DFT calculation (GGA-PBE) of a relaxed structure of Sc3SbP.

a = 4.040 Å, b = 6.241 Å, c = 8.654 Å
α = 90.92°, β = 90.00°, γ = 90.00°
Sites, in units of the cell vectors:
1 Sc 0.250 0.261 0.913
2 Sc 0.750 0.506 0.659
3 Sc 0.750 0.739 0.087
4 Sb 0.250 0.756 0.846
5 Sb 0.750 0.244 0.154
6 Sc 0.750 0.999 0.660
7 Sc 0.250 0.494 0.341
8 Sc 0.250 0.001 0.340
9 P 0.250 0.251 0.594
10 P 0.750 0.749 0.406

Computed properties:
The uncorrected formation energy comes out at -1042 meV/atom. The density of states at the Fermi level comes out at 8.98 states/eV per cell. The calculation puts the total magnetization at 0.00 μB per cell. Its space group is P2_1/m. For the relative energy among the computed polymorphs, the calculation gives 0 meV/atom.

The following is a DFT calculation (GGA-PBE) of a relaxed structure of Sc5Sb4P.

a = 4.093 Å, b = 4.093 Å, c = 14.710 Å
α = 98.00°, β = 98.00°, γ = 90.00°
Sites, in units of the cell vectors:
1 Sc 0.702 0.702 0.403
2 Sb 0.804 0.804 0.608
3 Sc 0.090 0.090 0.181
4 Sb 0.400 0.400 0.801
5 Sb 0.600 0.600 0.199
6 Sc 0.910 0.910 0.819
7 Sc 0.500 0.500 0.000
8 Sb 0.196 0.196 0.392
9 Sc 0.298 0.298 0.597
10 P 0.000 0.000 0.000

Computed properties:
The uncorrected formation energy comes out at -1006 meV/atom. The density of states at the Fermi level comes out at 1.85 states/eV per cell. The calculation puts the total magnetization at 0.00 μB per cell. Its space group is I4/mmm.

The following is a DFT calculation (GGA-PBE) of a relaxed structure of ScSbP3.

a = 4.961 Å, b = 4.961 Å, c = 4.961 Å
α = 90.00°, β = 90.00°, γ = 90.00°
Sites, in units of the cell vectors:
1 P 0.500 0.000 0.000
2 P 0.000 0.000 0.500
3 Sb 0.000 0.000 0.000
4 Sc 0.500 0.500 0.500
5 P 0.000 0.500 0.000

Computed properties:
The uncorrected formation energy comes out at 721 meV/atom. The density of states at the Fermi level comes out at 3.63 states/eV per cell. The calculation puts the total magnetization at 0.00 μB per cell. Its space group is Pm-3m. For the relative energy among the computed polymorphs, the calculation gives 243 meV/atom.

The following is a DFT calculation (GGA-PBE) of a relaxed structure of Sc2SbP2.

a = 7.471 Å, b = 7.471 Å, c = 3.510 Å
α = 90.00°, β = 90.00°, γ = 90.00°
Sites, in units of the cell vectors:
1 Sc 0.650 0.150 0.000
2 Sc 0.850 0.650 0.000
3 P 0.845 0.345 0.500
4 P 0.155 0.655 0.500
5 Sb 0.500 0.500 0.000
6 Sb 0.000 0.000 0.000
7 P 0.345 0.155 0.500
8 Sc 0.350 0.850 0.000
9 P 0.655 0.845 0.500
10 Sc 0.150 0.350 0.000

Computed properties:
The uncorrected formation energy comes out at -716 meV/atom. The density of states at the Fermi level comes out at 5.28 states/eV per cell. The calculation puts the total magnetization at 0.00 μB per cell. Its space group is P4/mbm. For the relative energy among the computed polymorphs, the calculation gives 173 meV/atom.

The following is a DFT calculation (GGA-PBE) of a relaxed structure of ScSbP2.

a = 4.818 Å, b = 4.818 Å, c = 4.818 Å
α = 60.00°, β = 60.00°, γ = 60.00°
Sites, in units of the cell vectors:
1 P 0.250 0.250 0.250
2 P 0.000 0.000 0.000
3 Sb 0.500 0.500 0.500
4 Sc 0.750 0.750 0.750

Computed properties:
The uncorrected formation energy comes out at 190 meV/atom. The density of states at the Fermi level comes out at 4.05 states/eV per cell. The calculation puts the total magnetization at 0.00 μB per cell. Its space group is F-43m.

The following is a DFT calculation (GGA-PBE) of a relaxed structure of ScSbP2.

a = 5.092 Å, b = 5.092 Å, c = 5.092 Å
α = 136.64°, β = 119.05°, γ = 77.72°
Sites, in units of the cell vectors:
1 Sb 0.250 0.750 0.500
2 P 0.011 0.011 0.000
3 P 0.489 0.489 0.000
4 Sc 0.750 0.250 0.500

Computed properties:
The uncorrected formation energy comes out at -205 meV/atom. The density of states at the Fermi level comes out at 1.63 states/eV per cell. The calculation puts the total magnetization at 0.00 μB per cell. Its space group is Immm.

The following is a DFT calculation (GGA-PBE) of a relaxed structure of ScSbP2.

a = 4.667 Å, b = 4.667 Å, c = 3.515 Å
α = 90.00°, β = 90.00°, γ = 99.03°
Sites, in units of the cell vectors:
1 Sc 0.000 0.500 0.500
2 P 0.000 0.000 0.000
3 P 0.500 0.500 0.000
4 Sb 0.500 0.000 0.500

Computed properties:
The uncorrected formation energy comes out at -271 meV/atom. The density of states at the Fermi level comes out at 1.97 states/eV per cell. The calculation puts the total magnetization at 0.00 μB per cell. Its space group is Cmmm.

The following is a DFT calculation (GGA-PBE) of a relaxed structure of ScSbP2.

a = 3.995 Å, b = 5.538 Å, c = 3.591 Å
α = 90.00°, β = 90.00°, γ = 90.00°
Sites, in units of the cell vectors:
1 Sb 0.500 0.000 0.500
2 P 0.000 0.000 0.000
3 Sc 0.000 0.500 0.500
4 P 0.500 0.500 0.000

Computed properties:
The uncorrected formation energy comes out at -274 meV/atom. The density of states at the Fermi level comes out at 1.69 states/eV per cell. The calculation puts the total magnetization at 0.00 μB per cell. Its space group is Pmmm.

Q: Number 11 is which compound?
A: ScSbP2

Q: The highest total magnetization belongs to which entry?
A: Sc6Sb2P

Q: What is the formula in the eleventh record?
A: ScSbP2

Q: Which of these has the highest total magnetization?
A: Sc6Sb2P